PBEsol Bi3ClF, optimized geometry; uncorrected formation energy = 0.435 eV per atom; E_tot = -2.923 eV per atom; crystal system = cubic; space-group type = No. 221; magnetic moment = 0.00 μB per formula unit
1.0
5.392 0.000 0.000
0.000 5.392 0.000
0.000 0.000 5.392
F Bi Cl
1 3 1
direct
0.500 0.500 0.500
0.000 0.000 0.500
0.500 0.000 0.000
0.000 0.500 0.000
0.000 0.000 0.000

***

PBEsol InHg3, optimized geometry; formation energy = -2 meV per atom; E_tot = -1.173 eV per atom; crystal system = hexagonal; space-group type = No. 187; magnetic moment = 0.00 μB per formula unit
1.0
-1.667 2.168 -1.858
-0.941 -0.573 3.117
6.073 7.408 3.193
Hg In
3 1
direct
0.000 0.000 0.755
0.000 0.000 0.245
0.333 0.667 0.000
0.333 0.667 0.500

***

PBEsol LiPtCl3, optimized geometry; uncorrected formation energy = -0.637 eV per atom; E_tot = -3.628 eV per atom; crystal system = cubic; space-group type = No. 221; magnetic moment = 0.00 μB per formula unit
1.0
4.839 0.000 0.000
0.000 4.839 0.000
0.000 0.000 4.839
Pt Cl Li
1 3 1
direct
0.000 0.000 0.000
0.500 0.000 0.000
0.000 0.500 0.000
0.000 0.000 0.500
0.500 0.500 0.500

***

Q: Look up the magnetic moment of the second one.
A: 0.00 μB per formula unit